Below is a relaxed Mg3CI crystal, with properties calculated at the PBE level.

As for the total DFT energy (no corrections): -5.82 eV per cell. The value obtained for the uncorrected formation energy is 9.738 eV per formula unit. The distance to the lowest polymorph of the same formula is 1840 meV per atom.

Cell: 5.582 5.582 5.582 Å, 90.00 90.00 90.00°
Positions (direct):
I: 0.000 0.000 0.000
Mg: 0.000 0.500 0.000
Mg: 0.000 0.000 0.500
Mg: 0.500 0.000 0.000
C: 0.500 0.500 0.500

Below is a relaxed MgC3I crystal, with properties calculated at the PBE level.

As for the total DFT energy (no corrections): -15.58 eV per cell. The value obtained for the uncorrected formation energy is 15.234 eV per formula unit. The distance to the lowest polymorph of the same formula is 0 meV per atom.

Cell: 4.196 4.196 4.196 Å, 90.00 90.00 90.00°
Positions (direct):
I: 0.000 0.000 0.000
Mg: 0.500 0.500 0.500
C: 0.000 0.500 0.000
C: 0.000 0.000 0.500
C: 0.500 0.000 0.000